[1]
{"formula": "La2CoOs2", "functional": "PBE", "state": "optimized geometry", "lattice_angstrom": [[-4.2221, -3.0754, -4.1143], [5.0878, -3.2370, -2.8015], [-0.4994, -3.4796, 3.1135]], "species": ["Co", "Co", "Os", "Os", "Os", "Os", "La", "La", "La", "La"], "fractional_positions": [[0.0000, 0.0000, 0.0000], [0.5000, 0.5000, 0.0000], [0.3670, 0.8670, 0.0000], [0.8670, 0.6330, 0.0000], [0.6330, 0.1330, 0.0000], [0.1330, 0.3670, 0.0000], [0.1870, 0.6870, 0.5000], [0.6870, 0.8130, 0.5000], [0.8130, 0.3130, 0.5000], [0.3130, 0.1870, 0.5000]], "sg": "P4/mbm (127)", "final_energy_ev_per_atom": -7.69, "e_form_ev_per_atom": 0.19}



[2]
{"formula": "LaCoOs2", "functional": "PBE", "state": "optimized geometry", "lattice_angstrom": [[5.8740, 0.0104, 0.0112], [5.2002, 2.7318, 0.0112], [1.7337, 0.4293, 4.1568]], "species": ["Co", "La", "Os", "Os"], "fractional_positions": [[0.7500, 0.7500, 0.7500], [0.2500, 0.2500, 0.2500], [0.0337, 0.0337, 0.9659], [0.4663, 0.4663, 0.5341]], "polymorph_energy_mev_per_atom": 347, "sg": "Immm (71)", "final_energy_ev_per_atom": -8.25, "e_form_ev_per_atom": 0.38}



[3]
{"formula": "LaCoOs2", "functional": "PBE", "state": "optimized geometry", "lattice_angstrom": [[4.5916, 0.0000, 0.0000], [0.0000, 3.8675, 0.0000], [0.0000, 0.0000, 3.8675]], "species": ["Co", "La", "Os", "Os"], "fractional_positions": [[0.5000, 0.5000, 0.0000], [0.5000, 0.0000, 0.5000], [0.0000, 0.0000, 0.0000], [0.0000, 0.5000, 0.5000]], "polymorph_energy_mev_per_atom": 606, "sg": "P4/mmm (123)", "final_energy_ev_per_atom": -7.99, "e_form_ev_per_atom": 0.63}



[4]
{"formula": "LaCoOs2", "functional": "PBE", "state": "optimized geometry", "lattice_angstrom": [[0.0000, 3.2631, 3.2631], [3.2631, 0.0000, 3.2631], [3.2631, 3.2631, 0.0000]], "species": ["Co", "Os", "Os", "La"], "fractional_positions": [[0.0000, 0.0000, 0.0000], [0.2500, 0.2500, 0.2500], [0.7500, 0.7500, 0.7500], [0.5000, 0.5000, 0.5000]], "polymorph_energy_mev_per_atom": 776, "sg": "Fm-3m (225)", "final_energy_ev_per_atom": -7.82, "e_form_ev_per_atom": 0.81}